Entry 1:
# Mn2RuCl GGA-PBE optimized geometry
# Raw formation energy: 0.70 eV per atom
# DOS(E_F): 5.47 states/eV/f.u.
# Theoretical density: 5.77 g/cm³
# Energy above the lowest structure with this stoichiometry: 0.653 eV per atom
data_Mn2RuCl
_chemical_formula_sum 'Mn8 Ru4 Cl4'
_cell_length_a 6.325
_cell_length_b 6.325
_cell_length_c 7.096
_cell_angle_alpha 90.00
_cell_angle_beta 90.00
_cell_angle_gamma 90.00
_symmetry_space_group_name_H-M 'I -4 2 d'
_symmetry_Int_Tables_number 122
_symmetry_space_group_name_Hall 'I -4 2bw'
loop_
_atom_site_label
_atom_site_type_symbol
_atom_site_fract_x
_atom_site_fract_y
_atom_site_fract_z
Mn1 Mn 0.249 0.750 0.125
Ru1 Ru 0.000 0.000 0.000
Cl1 Cl 0.000 0.000 0.500


Entry 2:
# MnRu3Cl GGA-PBE optimized geometry
# Raw formation energy: 1.51 eV per atom
# DOS(E_F): 9.40 states/eV/f.u.
# Theoretical density: 8.25 g/cm³
# Energy above the lowest structure with this stoichiometry: 0.000 eV per atom
data_MnRu3Cl
_chemical_formula_sum 'Mn1 Ru3 Cl1'
_cell_length_a 4.294
_cell_length_b 4.294
_cell_length_c 4.294
_cell_angle_alpha 90.00
_cell_angle_beta 90.00
_cell_angle_gamma 90.00
_symmetry_space_group_name_H-M 'P m -3 m'
_symmetry_Int_Tables_number 221
_symmetry_space_group_name_Hall '-P 4 2 3'
loop_
_atom_site_label
_atom_site_type_symbol
_atom_site_fract_x
_atom_site_fract_y
_atom_site_fract_z
Mn1 Mn 0.000 0.000 0.000
Ru1 Ru 0.000 0.500 0.500
Cl1 Cl 0.500 0.500 0.500